Entry 1:
Compound: AcSc3Au4O12
Source: Alexandria
Functional: PBE-GGA
Structure: optimized geometry

The raw formation energy comes out at -1.466 eV/atom. As for the space group: R32 (155). Its total energy is -0.230 hartree per atom.

Lattice parameters (Å, degrees): 7.035 7.035 7.035 104.99 104.99 104.99
Atoms (fractional coordinates):
Ac: 0.000 0.000 0.000
Sc: 0.572 0.428 0.000
Sc: 0.428 0.000 0.572
Sc: 0.000 0.572 0.428
Au: 0.905 0.095 0.500
Au: 0.095 0.500 0.905
Au: 0.500 0.905 0.095
Au: 0.500 0.500 0.500
O: 0.500 0.321 0.679
O: 0.908 0.500 0.092
O: 0.092 0.908 0.500
O: 0.500 0.092 0.908
O: 0.337 0.012 0.261
O: 0.261 0.337 0.012
O: 0.012 0.261 0.337
O: 0.663 0.739 0.988
O: 0.988 0.663 0.739
O: 0.739 0.988 0.663
O: 0.679 0.500 0.321
O: 0.321 0.679 0.500



Entry 2:
Compound: Rb6CdF8
Source: Alexandria
Functional: PBE-GGA
Structure: optimized geometry

The raw formation energy comes out at -2.556 eV/atom. As for the space group: R-3 (148). Its total energy is -0.147 hartree per atom.

Lattice parameters (Å, degrees): 7.281 7.281 7.281 68.94 68.94 68.94
Atoms (fractional coordinates):
Rb: 0.063 0.488 0.703
Rb: 0.297 0.937 0.512
Rb: 0.512 0.297 0.937
Rb: 0.488 0.703 0.063
Rb: 0.703 0.063 0.488
Rb: 0.937 0.512 0.297
Cd: 0.000 0.000 0.000
F: 0.156 0.695 0.910
F: 0.090 0.844 0.305
F: 0.305 0.090 0.844
F: 0.659 0.659 0.659
F: 0.341 0.341 0.341
F: 0.695 0.910 0.156
F: 0.910 0.156 0.695
F: 0.844 0.305 0.090



Entry 3:
Compound: NaLiH
Source: Alexandria
Functional: PBE-GGA
Structure: optimized geometry

The calculation puts the energy above the most stable polymorph in this dataset at 0 meV per atom. As for the space group: C2/m (12). Its total energy is -0.085 hartree per atom.

Lattice parameters (Å, degrees): 3.036 6.248 8.233 133.69 100.62 90.00
Atoms (fractional coordinates):
Na: 0.886 0.114 0.771
Na: 0.114 0.886 0.229
H: 0.661 0.259 0.321
H: 0.339 0.741 0.679
Li: 0.173 0.465 0.346
Li: 0.827 0.535 0.654



Entry 4:
Compound: NdCo2Re
Source: Alexandria
Functional: PBE-GGA
Structure: optimized geometry

As for the space group: R-3m (166). Its total energy is -0.288 hartree per atom.

Lattice parameters (Å, degrees): 4.098 4.098 5.565 68.40 68.40 60.00
Atoms (fractional coordinates):
Re: 0.000 0.000 0.000
Nd: 0.500 0.500 0.500
Co: 0.303 0.303 0.090
Co: 0.697 0.697 0.910



| no. | spin magnetization (Bohr magnetons per cell) | V (Å³ per atom) | D(E_F) (states/eV per atom) |
| --- | --- | --- | --- |
| 1 | 1.7 | 15.22 | 0.89 |
| 2 | 0.3 | 21.62 | 0.00 |
| 3 | 0.0 | 18.20 | 0.21 |
| 4 | 0.0 | 18.31 | 1.28 |